Computed, not measured: a geometry-optimized HoHfIrO6 structure at the GGA-PBE level of DFT.

The structure belongs to space group P-31c (No. 163); the cell edges are 5.2834, 5.2834 and 9.7942 Å and the angles 90.00°, 90.00° and 120.00°. The inequivalent atoms are Ho at (0.0000, 0.0000, 0.0000), Hf at (0.3333, 0.6667, 0.2500), Ir at (0.3333, 0.6667, 0.7500) and O at (0.0136, 0.3571, 0.6371).

Its total moment is 2.0 μB per formula unit. The density of states at the Fermi level is 3.9 states/eV/f.u. As for the uncorrected formation energy: -2.39 eV/atom.